# 1
First-principles (SCAN) data for a PBEsol-optimized structure of Zr4Hg3, as listed in Alexandria via LeMat-Bulk.

Calculated values
- energy of formation (eV per atom) = -0.228
- D(E_F) (states/eV/atom) = 0.78
- space group = I4/mmm, No. 139

a = 3.133 Å, b = 3.133 Å, c = 30.306 Å
α = 90.00°, β = 90.00°, γ = 90.00°
Fractional coordinates of all 14 atoms:
Zr (0.000, 0.000, 0.071)
Zr (0.000, 0.000, 0.354)
Zr (0.000, 0.000, 0.646)
Zr (0.000, 0.000, 0.929)
Zr (0.500, 0.500, 0.146)
Zr (0.500, 0.500, 0.429)
Zr (0.500, 0.500, 0.571)
Zr (0.500, 0.500, 0.854)
Hg (0.000, 0.000, 0.215)
Hg (0.000, 0.000, 0.500)
Hg (0.000, 0.000, 0.785)
Hg (0.500, 0.500, 0.000)
Hg (0.500, 0.500, 0.285)
Hg (0.500, 0.500, 0.715)

=====

# 2
First-principles (SCAN) data for a PBEsol-optimized structure of Ba2V2CuClO7, as listed in Alexandria via LeMat-Bulk.

Calculated values
- space group = P4bm, No. 100
- energy relative to the elements, uncorrected (eV/f.u.) = -34.02

a = 8.915 Å, b = 8.915 Å, c = 5.393 Å
α = 90.00°, β = 90.00°, γ = 90.00°
Fractional coordinates of all 26 atoms:
Ba (0.177, 0.323, 0.000)
Ba (0.323, 0.823, 0.000)
Ba (0.677, 0.177, 0.000)
Ba (0.823, 0.677, 0.000)
V (0.131, 0.631, 0.543)
V (0.369, 0.131, 0.543)
V (0.631, 0.869, 0.543)
V (0.869, 0.369, 0.543)
Cu (0.000, 0.000, 0.590)
Cu (0.500, 0.500, 0.590)
Cl (0.000, 0.000, 0.151)
Cl (0.500, 0.500, 0.151)
O (0.000, 0.500, 0.682)
O (0.088, 0.799, 0.667)
O (0.128, 0.628, 0.225)
O (0.201, 0.088, 0.667)
O (0.299, 0.588, 0.667)
O (0.372, 0.128, 0.225)
O (0.412, 0.299, 0.667)
O (0.500, 0.000, 0.682)
O (0.588, 0.701, 0.667)
O (0.628, 0.872, 0.225)
O (0.701, 0.412, 0.667)
O (0.799, 0.912, 0.667)
O (0.872, 0.372, 0.225)
O (0.912, 0.201, 0.667)

=====

# 3
First-principles (SCAN) data for a PBEsol-optimized structure of SrYN3, as listed in Alexandria via LeMat-Bulk.

Calculated values
- D(E_F) (states/eV/atom) = 0.31
- space group = Pm-3m, No. 221
- energy relative to the elements, uncorrected (eV/f.u.) = 5.25

a = 4.287 Å, b = 4.287 Å, c = 4.287 Å
α = 90.00°, β = 90.00°, γ = 90.00°
Fractional coordinates of all 5 atoms:
Sr (0.000, 0.000, 0.000)
Y (0.500, 0.500, 0.500)
N (0.000, 0.000, 0.500)
N (0.000, 0.500, 0.000)
N (0.500, 0.000, 0.000)

=====

# 4
First-principles (SCAN) data for a PBEsol-optimized structure of LiY2TcPb, as listed in Alexandria via LeMat-Bulk.

Calculated values
- energy of formation (eV per atom) = 0.049
- D(E_F) (states/eV/atom) = 0.79
- space group = P4/mmm, No. 123

a = 5.276 Å, b = 5.276 Å, c = 5.275 Å
α = 90.00°, β = 90.00°, γ = 90.00°
Fractional coordinates of all 5 atoms:
Li (0.000, 0.000, 0.000)
Y (0.000, 0.500, 0.500)
Y (0.500, 0.000, 0.500)
Tc (0.500, 0.500, 0.500)
Pb (0.500, 0.500, 0.000)

=====

# 5
First-principles (SCAN) data for a PBEsol-optimized structure of Co2CuHg, as listed in Alexandria via LeMat-Bulk.

Calculated values
- energy of formation (eV per atom) = 0.287
- D(E_F) (states/eV/atom) = 0.59
- space group = F-43m, No. 216

a = 5.931 Å, b = 5.931 Å, c = 5.931 Å
α = 90.00°, β = 90.00°, γ = 90.00°
Fractional coordinates of all 16 atoms:
Co (0.000, 0.000, 0.000)
Co (0.000, 0.500, 0.500)
Co (0.250, 0.250, 0.250)
Co (0.250, 0.750, 0.750)
Co (0.500, 0.000, 0.500)
Co (0.500, 0.500, 0.000)
Co (0.750, 0.250, 0.750)
Co (0.750, 0.750, 0.250)
Cu (0.250, 0.250, 0.750)
Cu (0.250, 0.750, 0.250)
Cu (0.750, 0.250, 0.250)
Cu (0.750, 0.750, 0.750)
Hg (0.000, 0.000, 0.500)
Hg (0.000, 0.500, 0.000)
Hg (0.500, 0.000, 0.000)
Hg (0.500, 0.500, 0.500)

=====

# 6
First-principles (SCAN) data for a PBEsol-optimized structure of AgAu2, as listed in Alexandria via LeMat-Bulk.

Calculated values
- energy of formation (eV per atom) = -0.070
- D(E_F) (states/eV/atom) = 0.31
- space group = Cmcm, No. 63
- offset from the most stable computed form (meV/atom) = 5

a = 4.047 Å, b = 12.146 Å, c = 4.091 Å
α = 90.00°, β = 90.00°, γ = 90.00°
Fractional coordinates of all 12 atoms:
Ag (0.000, 0.083, 0.250)
Ag (0.000, 0.917, 0.750)
Ag (0.500, 0.417, 0.750)
Ag (0.500, 0.583, 0.250)
Au (0.000, 0.250, 0.750)
Au (0.000, 0.417, 0.250)
Au (0.000, 0.583, 0.750)
Au (0.000, 0.750, 0.250)
Au (0.500, 0.083, 0.750)
Au (0.500, 0.250, 0.250)
Au (0.500, 0.750, 0.750)
Au (0.500, 0.917, 0.250)

=====

# 7
First-principles (SCAN) data for a PBEsol-optimized structure of Be2AlRe, as listed in Alexandria via LeMat-Bulk.

Calculated values
- energy of formation (eV per atom) = 0.018
- D(E_F) (states/eV/atom) = 0.26
- space group = C2/m, No. 12

a = 5.059 Å, b = 7.997 Å, c = 2.577 Å
α = 90.00°, β = 114.19°, γ = 90.00°
Fractional coordinates of all 8 atoms:
Be (0.250, 0.250, 0.000)
Be (0.250, 0.750, 0.000)
Be (0.750, 0.250, 0.000)
Be (0.750, 0.750, 0.000)
Al (0.000, 0.000, 0.500)
Al (0.500, 0.500, 0.500)
Re (0.000, 0.500, 0.500)
Re (0.500, 0.000, 0.500)

=====

# 8
First-principles (SCAN) data for a PBEsol-optimized structure of ZnHg3, as listed in Alexandria via LeMat-Bulk.

Calculated values
- energy of formation (eV per atom) = 0.077
- D(E_F) (states/eV/atom) = 0.30
- space group = R-3m, No. 166
- offset from the most stable computed form (meV/atom) = 9

a = 3.382 Å, b = 3.382 Å, c = 25.639 Å
α = 90.00°, β = 90.00°, γ = 120.00°
Fractional coordinates of all 12 atoms:
Zn (0.000, 0.000, 0.000)
Zn (0.333, 0.667, 0.667)
Zn (0.667, 0.333, 0.333)
Hg (0.000, 0.000, 0.257)
Hg (0.000, 0.000, 0.500)
Hg (0.000, 0.000, 0.743)
Hg (0.333, 0.667, 0.167)
Hg (0.333, 0.667, 0.410)
Hg (0.333, 0.667, 0.923)
Hg (0.667, 0.333, 0.077)
Hg (0.667, 0.333, 0.590)
Hg (0.667, 0.333, 0.833)

=====

# 9
First-principles (SCAN) data for a PBEsol-optimized structure of NaNb2Ru, as listed in Alexandria via LeMat-Bulk.

Calculated values
- energy of formation (eV per atom) = 0.481
- D(E_F) (states/eV/atom) = 1.05
- space group = Fm-3m, No. 225

a = 6.415 Å, b = 6.415 Å, c = 6.415 Å
α = 90.00°, β = 90.00°, γ = 90.00°
Fractional coordinates of all 16 atoms:
Na (0.000, 0.000, 0.000)
Na (0.000, 0.500, 0.500)
Na (0.500, 0.000, 0.500)
Na (0.500, 0.500, 0.000)
Nb (0.250, 0.250, 0.250)
Nb (0.250, 0.250, 0.750)
Nb (0.250, 0.750, 0.250)
Nb (0.250, 0.750, 0.750)
Nb (0.750, 0.250, 0.250)
Nb (0.750, 0.250, 0.750)
Nb (0.750, 0.750, 0.250)
Nb (0.750, 0.750, 0.750)
Ru (0.000, 0.000, 0.500)
Ru (0.000, 0.500, 0.000)
Ru (0.500, 0.000, 0.000)
Ru (0.500, 0.500, 0.500)

=====

# 10
First-principles (SCAN) data for a PBEsol-optimized structure of ZnIn3Pb, as listed in Alexandria via LeMat-Bulk.

Calculated values
- energy of formation (eV per atom) = 0.253
- D(E_F) (states/eV/atom) = 0.52
- space group = Pm-3m, No. 221

a = 5.145 Å, b = 5.145 Å, c = 5.145 Å
α = 90.00°, β = 90.00°, γ = 90.00°
Fractional coordinates of all 5 atoms:
Zn (0.000, 0.000, 0.000)
In (0.000, 0.000, 0.500)
In (0.000, 0.500, 0.000)
In (0.500, 0.000, 0.000)
Pb (0.500, 0.500, 0.500)

=====

# 11
First-principles (SCAN) data for a PBEsol-optimized structure of Zr2CrAu, as listed in Alexandria via LeMat-Bulk.

Calculated values
- energy of formation (eV per atom) = -0.317
- D(E_F) (states/eV/atom) = 0.87
- space group = P4/mmm, No. 123
- offset from the most stable computed form (meV/atom) = 0

a = 3.269 Å, b = 3.269 Å, c = 6.614 Å
α = 90.00°, β = 90.00°, γ = 90.00°
Fractional coordinates of all 4 atoms:
Zr (0.000, 0.000, 0.228)
Zr (0.000, 0.000, 0.772)
Cr (0.500, 0.500, 0.000)
Au (0.500, 0.500, 0.500)

=====

# 12
First-principles (SCAN) data for a PBEsol-optimized structure of Zn2IrBr, as listed in Alexandria via LeMat-Bulk.

Calculated values
- D(E_F) (states/eV/atom) = 0.12
- space group = P4mm, No. 99
- energy relative to the elements, uncorrected (eV/f.u.) = 0.55
- offset from the most stable computed form (meV/atom) = 12

a = 3.397 Å, b = 3.397 Å, c = 6.542 Å
α = 90.00°, β = 90.00°, γ = 90.00°
Fractional coordinates of all 4 atoms:
Zn (0.000, 0.000, 0.000)
Zn (0.500, 0.500, 0.284)
Ir (0.500, 0.500, 0.917)
Br (0.000, 0.000, 0.481)